## Fe2CuW (SCAN)

Data for Fe2CuW at its PBEsol-relaxed geometry.

CIF file:
```
data_Fe2CuW
_symmetry_space_group_name_H-M 'R -3 m'
_symmetry_Int_Tables_number 166
_symmetry_space_group_name_Hall '-R 3 2"'
_cell_length_a 2.6128
_cell_length_b 2.6128
_cell_length_c 25.6859
_cell_angle_alpha 90.00
_cell_angle_beta 90.00
_cell_angle_gamma 120.00
loop_
_atom_site_label
_atom_site_fract_x
_atom_site_fract_y
_atom_site_fract_z
Fe1 0.0000 0.0000 0.2461
Cu1 0.0000 0.0000 0.5000
W1 0.0000 0.0000 0.0000
```

E_tot	-29.96	eV/atom
formation energy	1.29	eV per formula unit
crystal system	trigonal

---

## SrCoRe3 (SCAN)

Data for SrCoRe3 at its PBEsol-relaxed geometry.

CIF file:
```
data_SrCoRe3
_symmetry_space_group_name_H-M 'P m -3 m'
_symmetry_Int_Tables_number 221
_symmetry_space_group_name_Hall '-P 4 2 3'
_cell_length_a 4.6403
_cell_length_b 4.6403
_cell_length_c 4.6403
_cell_angle_alpha 90.00
_cell_angle_beta 90.00
_cell_angle_gamma 90.00
loop_
_atom_site_label
_atom_site_fract_x
_atom_site_fract_y
_atom_site_fract_z
Sr1 0.0000 0.0000 0.0000
Co1 0.5000 0.5000 0.5000
Re1 0.0000 0.0000 0.5000
```

E_tot	-46.35	eV/atom
formation energy	21.10	eV per formula unit
crystal system	cubic

---

| no. | spin magnetization (μB/f.u.) | calculated volume (Å³/cell) |
| --- | --- | --- |
| 1 | 5.28 | 151.9 |
| 2 | 0.04 | 99.9 |